Record 1
Density functional theory data (PBE) for SiTe2Ru after structural relaxation.

Computed properties:
total magnetic moment	0.00	μB per formula unit
energy	-4.590	eV per atom

Lattice parameters (Å, degrees): 3.129 3.129 9.731 90.00 90.00 116.22
Sites, in units of the cell vectors:
Te1 0.000 0.000 0.030
Te2 0.000 0.000 0.470
Ru1 0.500 0.500 0.250
Si1 0.500 0.500 0.750

Record 2
Density functional theory data (PBE) for Si2TeRu after structural relaxation.

Computed properties:
total magnetic moment	0.00	μB per formula unit
energy	-5.425	eV per atom

Lattice parameters (Å, degrees): 5.782 5.782 5.782 150.08 130.99 58.49
Sites, in units of the cell vectors:
Te1 0.750 0.250 0.500
Si1 0.452 0.452 0.000
Si2 0.048 0.048 0.000
Ru1 0.250 0.750 0.500

Record 3
Density functional theory data (PBE) for SiTe2Ru after structural relaxation.

Computed properties:
total magnetic moment	0.00	μB per formula unit
energy	-5.128	eV per atom

Lattice parameters (Å, degrees): 9.171 9.171 9.171 21.43 21.43 21.43
Sites, in units of the cell vectors:
Te1 0.023 0.023 0.023
Te2 0.223 0.223 0.223
Ru1 0.491 0.491 0.491
Si1 0.762 0.762 0.762